(1)
A plane-wave DFT calculation with PBEsol was carried out for YZn4Ag after structural relaxation.

a = 5.205 Å, b = 5.205 Å, c = 5.205 Å
α = 60.00°, β = 60.00°, γ = 60.00°
Positions (direct):
Y1 0.000 0.000 0.000
Zn1 0.375 0.375 0.375
Zn2 0.375 0.375 0.875
Zn3 0.875 0.375 0.375
Zn4 0.375 0.875 0.375
Ag1 0.750 0.750 0.750

The energy of formation from the pure elements is -213 meV/atom. Its space group is F-43m (216). As for the size of the total moment: 0.00 μB/cell.

=====

(2)
A plane-wave DFT calculation with PBEsol was carried out for YZn2Ag after structural relaxation.

a = 4.669 Å, b = 4.672 Å, c = 4.672 Å
α = 60.00°, β = 60.02°, γ = 60.02°
Positions (direct):
Y1 0.250 0.250 0.250
Zn1 0.000 0.000 0.000
Zn2 0.750 0.750 0.750
Ag1 0.500 0.500 0.500

The energy of formation from the pure elements is -283 meV/atom. Its space group is F-43m (216). As for the size of the total moment: 0.00 μB/cell.

=====

(3)
A plane-wave DFT calculation with PBEsol was carried out for YZn2Ag after structural relaxation.

a = 3.278 Å, b = 3.278 Å, c = 6.789 Å
α = 90.00°, β = 90.00°, γ = 90.00°
Positions (direct):
Ag1 0.000 0.000 0.457
Y1 0.500 0.500 0.756
Zn1 0.000 0.000 0.043
Zn2 0.500 0.500 0.244

The energy of formation from the pure elements is -168 meV/atom. Its space group is P4mm (99). As for the size of the total moment: 0.00 μB/cell.

=====

(4)
A plane-wave DFT calculation with PBEsol was carried out for Y2ZnAg after structural relaxation.

a = 3.560 Å, b = 5.013 Å, c = 5.015 Å
α = 90.00°, β = 90.03°, γ = 90.00°
Positions (direct):
Y1 0.875 0.000 0.876
Y2 0.875 0.500 0.374
Zn1 0.375 0.000 0.377
Ag1 0.375 0.500 0.873

The energy of formation from the pure elements is -349 meV/atom. Its space group is Pmm2 (25). As for the size of the total moment: 0.00 μB/cell.

=====

(5)
A plane-wave DFT calculation with PBEsol was carried out for Y2ZnAg after structural relaxation.

a = 3.548 Å, b = 3.548 Å, c = 7.058 Å
α = 90.00°, β = 90.00°, γ = 90.00°
Positions (direct):
Y1 0.000 0.000 0.757
Y2 0.000 0.000 0.243
Zn1 0.500 0.500 0.000
Ag1 0.500 0.500 0.500

The energy of formation from the pure elements is -357 meV/atom. Its space group is P4/mmm (123). As for the size of the total moment: 0.00 μB/cell.

=====

(6)
A plane-wave DFT calculation with PBEsol was carried out for YZn2Ag after structural relaxation.

a = 3.330 Å, b = 4.123 Å, c = 5.705 Å
α = 90.00°, β = 106.90°, γ = 90.00°
Positions (direct):
Ag1 0.532 0.000 0.439
Y1 0.207 0.500 0.787
Zn1 0.821 0.000 0.015
Zn2 0.941 0.500 0.259

The energy of formation from the pure elements is -189 meV/atom. Its space group is Amm2 (38). As for the size of the total moment: 0.00 μB/cell.

=====

(7)
A plane-wave DFT calculation with PBEsol was carried out for YZn2Ag2 after structural relaxation.

a = 4.053 Å, b = 4.053 Å, c = 6.336 Å
α = 108.65°, β = 108.65°, γ = 90.00°
Positions (direct):
Y1 0.000 0.000 0.000
Zn1 0.606 0.606 0.212
Zn2 0.394 0.394 0.788
Ag1 0.250 0.750 0.500
Ag2 0.750 0.250 0.500

The energy of formation from the pure elements is -243 meV/atom. Its space group is I4/mmm (139). As for the size of the total moment: 0.00 μB/cell.

=====

(8)
A plane-wave DFT calculation with PBEsol was carried out for YZnAg2 after structural relaxation.

a = 4.496 Å, b = 4.881 Å, c = 4.495 Å
α = 117.37°, β = 90.00°, γ = 117.42°
Positions (direct):
Y1 0.500 0.000 0.500
Zn1 0.750 0.500 0.250
Ag1 0.000 0.000 0.000
Ag2 0.250 0.500 0.750

The energy of formation from the pure elements is -247 meV/atom. Its space group is I-4m2 (119). As for the size of the total moment: 0.00 μB/cell.

=====

E
In order: -2.957 -3.608 -3.492 -4.984 -4.991 -3.513 -3.565 -4.004
Unit: eV per atom